# RbDyEr GGA-PBE relaxed
data_RbDyEr
_chemical_formula_sum 'Rb1 Dy1 Er1'
_cell_length_a 5.924
_cell_length_b 5.924
_cell_length_c 5.924
_cell_angle_alpha 60.00
_cell_angle_beta 60.00
_cell_angle_gamma 60.00
_symmetry_space_group_name_H-M 'P 1'
_symmetry_Int_Tables_number 1
loop_
_symmetry_equiv_pos_as_xyz
'x,y,z'
loop_
_atom_site_label
_atom_site_fract_x
_atom_site_fract_y
_atom_site_fract_z
_atom_site_occupancy
Rb1 0.000 0.000 0.000 1
Dy1 0.750 0.750 0.750 1
Er1 0.500 0.500 0.500 1
# Electronic total energy (eV per atom): -2.12
# Space group: F-43m (216)
# Volume (Å³ per atom): 49.00